(1)
The following is a DFT calculation (PBE) of an optimized crystal structure of CaHfTeN2.

Values from the calculation:
Formation energy without anion corrections (meV per atom): 1212.4
Spin magnetization (μB per formula unit): 2.19
ΔE to the lowest computed polymorph (meV per atom): 1593
Symmetry: P4/mmm (123)
Fermi-level density of states (states/eV per cell): 3.8

Cell lengths 4.348, 4.348, 5.737 Å; angles 90.00, 90.00, 90.00 degrees
Sites, in units of the cell vectors:
Ca  0.000  0.000  0.000
Te  0.000  0.000  0.500
Hf  0.500  0.500  0.500
N  0.000  0.500  0.000
N  0.500  0.000  0.000



(2)
The following is a DFT calculation (PBE) of an optimized crystal structure of Pr2Sn3Pb3.

Values from the calculation:
E_form (eV/atom): -0.4395
Spin magnetization (μB per formula unit): 0.00
Symmetry: Pmmm (47)
Fermi-level density of states (states/eV per cell): 4.6

Cell lengths 4.891, 4.877, 9.714 Å; angles 90.00, 90.00, 90.00 degrees
Sites, in units of the cell vectors:
Pr  0.000  0.000  0.743
Pr  0.000  0.000  0.257
Sn  0.500  0.000  0.500
Sn  0.000  0.500  0.000
Sn  0.000  0.500  0.500
Pb  0.500  0.500  0.748
Pb  0.500  0.500  0.252
Pb  0.500  0.000  0.000



(3)
The following is a DFT calculation (PBE) of an optimized crystal structure of Dy6CdTe5.

Values from the calculation:
Formation energy without anion corrections (meV per atom): -1125.2
Spin magnetization (μB per formula unit): 0.00
Symmetry: C2/m (12)
Fermi-level density of states (states/eV per cell): 4.3

Cell lengths 7.533, 7.576, 7.557 Å; angles 59.92, 80.38, 70.53 degrees
Sites, in units of the cell vectors:
Cd  0.000  0.000  0.000
Te  0.500  0.173  0.654
Te  0.000  0.335  0.329
Te  0.500  0.500  0.000
Te  0.000  0.665  0.671
Te  0.500  0.827  0.346
Dy  0.759  0.079  0.323
Dy  0.241  0.598  0.323
Dy  0.246  0.239  0.000
Dy  0.754  0.761  0.000
Dy  0.759  0.402  0.677
Dy  0.241  0.921  0.677



- The lowest Fermi-level density of states belongs to which entry?
  CaHfTeN2